First-principles (PBE) data for Al3Ir after structural relaxation, as listed in the Alexandria database.

Cell lengths 2.8641, 2.8641, 7.5599 Å; angles 90.00, 90.00, 90.00 degrees
Last column: nearest neighbours and their distance in Å.
Fractional positions:
Ir1 0.5000 0.5000 0.2500  8 Al 2.61, 4 Ir 2.86
Al1 0.0000 0.0000 0.4676  4 Ir 2.61, 4 Al 2.86
Al2 0.5000 0.5000 0.7500  12 Al 2.86-2.94
Al3 0.0000 0.0000 0.0324  4 Ir 2.61, 4 Al 2.86

Results
M_tot in μB per atom: 0.000
Energy of formation in eV/atom: -0.44
VASP energy in eV for the cell shown: -21.9
DOS(E_F) in states/eV/f.u.: 1.376

***

First-principles (PBE) data for LaHoAlCd after structural relaxation, as listed in the Alexandria database.

Cell lengths 5.3425, 5.3425, 5.3425 Å; angles 60.00, 60.00, 60.00 degrees
Last column: nearest neighbours and their distance in Å.
Fractional positions:
Cd1 0.0000 0.0000 0.0000  4 Ho 3.27, 4 La 3.27
Al1 0.5000 0.5000 0.5000  4 La 3.27, 4 Ho 3.27
Ho1 0.2500 0.2500 0.2500  4 Al 3.27, 4 Cd 3.27
La1 0.7500 0.7500 0.7500  4 Al 3.27, 4 Cd 3.27

Results
M_tot in μB per atom: 0.000
Energy of formation in eV/atom: -0.33
Energy above the most stable polymorph in this dataset in meV per atom: 31
VASP energy in eV for the cell shown: -15.5
DOS(E_F) in states/eV/f.u.: 4.304

***

First-principles (PBE) data for Tl3RhI after structural relaxation, as listed in the Alexandria database.

Cell lengths 6.6141, 6.6141, 9.4143 Å; angles 69.43, 69.43, 90.00 degrees
Last column: nearest neighbours and their distance in Å.
Fractional positions:
Tl1 0.1277 0.8766 0.2467  2 Rh 2.61-2.64
Rh1 0.2500 0.7500 0.5000  4 Tl 2.64
I1 0.5952 0.0952 0.8097  8 Tl 3.60-3.93, 2 Rh 3.65
I2 0.9048 0.4048 0.1903  8 Tl 3.60-3.93, 2 Rh 3.65
Tl2 0.1234 0.8723 0.7533  2 Rh 2.61-2.64
Tl3 0.3180 0.3180 0.3639  2 Rh 3.49, 6 Tl 3.59-3.82, 2 I 3.60
Tl4 0.1234 0.3745 0.7533  2 Rh 2.61-2.64
Rh2 0.0000 0.0000 0.0000  4 Tl 2.61
Tl5 0.6255 0.8766 0.2467  2 Rh 2.61-2.64
Tl6 0.6820 0.6820 0.6361  2 Rh 3.49, 6 Tl 3.59-3.82, 2 I 3.60

Results
M_tot in μB per atom: 0.000
Energy above the most stable polymorph in this dataset in meV per atom: 299
VASP energy in eV for the cell shown: -31.7
DOS(E_F) in states/eV/f.u.: 1.135
Raw formation energy in eV per atom: 0.03

***

Look up the VASP energy of the third one. -31.7 eV for the cell shown